No. 1
Material: SbRh
Method: DFT, PBE
State: optimized geometry

The structure in POSCAR format:
```
SbRh
1.0
3.331 0.000 0.000
-1.666 2.885 0.000
0.000 0.000 8.769
Sb Rh
2 2
direct
0.333 0.667 0.000 Sb
0.667 0.333 0.500 Sb
0.333 0.667 0.698 Rh
0.667 0.333 0.198 Rh
```

Output
Volume   21.07 Å³ per atom
SG   P6_3mc, No. 186
Uncorrected formation energy   -0.099 eV/atom


No. 2
Material: SbRh2
Method: DFT, PBE
State: optimized geometry

The structure in POSCAR format:
```
SbRh2
1.0
-2.907 2.907 3.106
2.907 -2.907 3.106
2.907 2.907 -3.106
Sb Rh
2 4
direct
0.250 0.250 0.000 Sb
0.750 0.750 0.000 Sb
0.163 0.663 0.826 Rh
0.337 0.163 0.500 Rh
0.663 0.837 0.500 Rh
0.837 0.337 0.174 Rh
```

Output
Volume   17.50 Å³ per atom
SG   I4/mcm, No. 140
Uncorrected formation energy   -0.017 eV/atom


No. 3
Material: SbRh3
Method: DFT, PBE
State: optimized geometry

The structure in POSCAR format:
```
SbRh3
1.0
-1.473 4.511 2.375
1.473 -4.511 2.375
1.473 4.511 -2.375
Sb Rh
1 3
direct
0.000 0.000 0.000 Sb
0.377 0.637 0.741 Rh
0.512 0.012 0.500 Rh
0.896 0.637 0.259 Rh
```

Output
Volume   15.78 Å³ per atom
SG   Imm2, No. 44
Uncorrected formation energy   -0.076 eV/atom


No. 4
Material: SbRh
Method: DFT, PBE
State: optimized geometry

The structure in POSCAR format:
```
SbRh
1.0
3.561 0.000 0.000
0.000 6.272 2.825
0.000 -6.272 2.825
Sb Rh
3 3
direct
0.000 0.000 0.000 Sb
0.500 0.241 0.587 Sb
0.500 0.587 0.241 Sb
0.000 0.587 0.960 Rh
0.000 0.960 0.587 Rh
0.500 0.665 0.665 Rh
```

Output
Volume   21.04 Å³ per atom
SG   Amm2, No. 38
Uncorrected formation energy   -0.265 eV/atom